The following is a GGA-PBE calculation of an optimized crystal structure of Cs2NaPdI, from Alexandria.

Summary:
energy relative to the elements, uncorrected = -0.49 eV/atom
offset from the most stable computed form = 0 meV/atom
density of states at the Fermi level = 0.007 states/eV/atom

Cell lengths 6.753, 6.753, 5.465 Å; angles 90.00, 90.00, 90.00 degrees
Space group P4/mmm (No. 123)
Inequivalent atoms, fractional coordinates:
Cs 0.000 0.500 0.000 (multiplicity 2)
Na 0.000 0.000 0.500 (multiplicity 1)
Pd 0.000 0.000 0.000 (multiplicity 1)
I 0.500 0.500 0.500 (multiplicity 1)